Material: CsSi3W
Method: DFT, GGA-PBE
State: relaxed

Geometry as POSCAR:
```
CsSi3W
1.0
-1.5367 0.8897 4.7693
-3.2652 -3.8898 -0.3264
3.5883 -3.1586 1.7454
Si W Cs
3 1 1
direct
0.5000 0.0000 0.0000
0.0000 0.0000 0.5000
0.0000 0.5000 0.0000
0.5000 0.5000 0.5000
0.0000 0.0000 0.0000
```

Properties
Magnetic moment: 0.0 μB/f.u.
Raw total energy: -2.69 eV per atom
Energy above the most stable polymorph in this dataset: 15.056 eV/f.u.